MoPt2Rh, single point on PBEsol structure, DFT SCAN; E = -52.554 eV/atom; ΔE_f = -0.294 eV/atom; distance to the lowest polymorph of the same formula = 0.07 eV per formula unit
1.0
3.8286 0.0000 0.0000
0.0000 3.8286 0.0000
0.0000 0.0000 7.9153
Mo Pt Rh
2 4 2
Cartesian
0.0000 0.0000 0.0000
1.9143 1.9143 3.9577
0.0000 1.9143 1.9788
0.0000 1.9143 5.9365
1.9143 0.0000 1.9788
1.9143 0.0000 5.9365
0.0000 0.0000 3.9577
1.9143 1.9143 0.0000



MoPt2Rh, single point on PBEsol structure, DFT SCAN; E = -52.512 eV/atom; ΔE_f = -0.251 eV/atom; distance to the lowest polymorph of the same formula = 0.24 eV per formula unit
1.0
2.7287 0.0000 0.0000
0.0000 2.7287 0.0000
0.0000 0.0000 7.8449
Mo Pt Rh
1 2 1
Cartesian
0.0000 0.0000 0.0000
0.0000 0.0000 4.0165
1.3644 1.3644 1.9365
1.3644 1.3644 6.0171



MoPt2Rh, single point on PBEsol structure, DFT SCAN; E = -52.545 eV/atom; ΔE_f = -0.284 eV/atom; distance to the lowest polymorph of the same formula = 0.11 eV per formula unit
1.0
2.7183 0.0000 0.0000
0.0000 3.9424 0.0000
0.0000 0.0000 5.4120
Mo Pt Rh
1 2 1
Cartesian
0.0000 0.0000 0.0000
1.3592 1.9712 1.3361
1.3592 1.9712 4.0758
0.0000 0.0000 2.7060